Record 1
The following is a DFT calculation (PBE-GGA) of a relaxed K2ErRe3O12 crystal.

Magnetic moment, μB per atom: 0.05
Formation energy (no corrections), eV per atom: -1.92

Unit cell a=7.3896 b=7.3896 c=18.6037 alpha=90.00 beta=90.00 gamma=120.00
With the nearest neighbours (Å) after each atom.
Space group R-3m (No. 166, hexagonal axes)
Asymmetric unit:
K1 0.0000 0.0000 0.1248 (multiplicity 6)  6 O 3.19-3.39
Er1 0.0000 0.0000 0.5000 (multiplicity 3)  6 O 2.22
Re1 0.0000 0.5000 0.0000 (multiplicity 9)  6 O 1.86-1.94
O1 0.0483 0.5241 0.0984 (multiplicity 18)  1 Re 1.86
O2 0.0841 0.5421 0.3457 (multiplicity 18)  2 Re 1.94



Record 2
The following is a DFT calculation (PBE-GGA) of a relaxed K3ErRe2O9 crystal.

Magnetic moment, μB per atom: 0.00
Formation energy (no corrections), eV per atom: -2.06

Unit cell a=5.7450 b=5.7450 c=7.0944 alpha=90.00 beta=90.00 gamma=120.00
With the nearest neighbours (Å) after each atom.
Space group P-3m1 (No. 164)
Asymmetric unit:
K1 0.0000 0.0000 0.0000 (multiplicity 1)  12 O 2.83-2.87
K2 0.3333 0.6667 0.6675 (multiplicity 2)  12 O 2.88-2.96
Er1 0.0000 0.0000 0.5000 (multiplicity 1)  6 O 2.22
Re1 0.3333 0.6667 0.1600 (multiplicity 2)  6 O 1.88-2.01
O1 0.0000 0.5000 0.0000 (multiplicity 3)  2 Re 2.01
O2 0.1778 0.3557 0.3113 (multiplicity 6)  1 Re 1.88



Record 3
The following is a DFT calculation (PBE-GGA) of a relaxed K2ErReO6 crystal.

Magnetic moment, μB per atom: 0.00
Formation energy (no corrections), eV per atom: -2.25

Unit cell a=8.2964 b=8.2964 c=8.2964 alpha=90.00 beta=90.00 gamma=90.00
With the nearest neighbours (Å) after each atom.
Space group Fm-3m (No. 225)
Asymmetric unit:
K1 0.2500 0.2500 0.2500 (multiplicity 8)  12 O 2.94
Er1 0.0000 0.0000 0.0000 (multiplicity 4)  6 O 2.24
Re1 0.0000 0.0000 0.5000 (multiplicity 4)  6 O 1.90
O1 0.0000 0.0000 0.2705 (multiplicity 24)  1 Re 1.90



Record 4
The following is a DFT calculation (PBE-GGA) of a relaxed K3Er3RhO8 crystal.

Magnetic moment, μB per atom: 0.07
Formation energy (no corrections), eV per atom: -2.38

Unit cell a=6.6971 b=6.6971 c=18.8137 alpha=90.00 beta=90.00 gamma=120.00
With the nearest neighbours (Å) after each atom.
Space group R-3m (No. 166, hexagonal axes)
Asymmetric unit:
K1 0.0000 0.5000 0.0000 (multiplicity 9)  6 O 2.77-2.78
Er1 0.0000 0.5000 0.5000 (multiplicity 9)  6 O 2.24-2.28
Rh1 0.0000 0.0000 0.5000 (multiplicity 3)  6 O 2.11
O1 0.0000 0.0000 0.2271 (multiplicity 6)  3 Er 2.24
O2 0.0229 0.5115 0.2248 (multiplicity 18)  1 Rh 2.11, 2 Er 2.28



Record 5
The following is a DFT calculation (PBE-GGA) of a relaxed K3Er2RhO6 crystal.

Magnetic moment, μB per atom: 0.00
Formation energy (no corrections), eV per atom: -2.17

Unit cell a=5.7864 b=10.0132 c=6.4902 alpha=90.00 beta=107.17 gamma=90.00
With the nearest neighbours (Å) after each atom.
Space group C2/m (No. 12)
Asymmetric unit:
K1 0.0000 0.0000 0.0000 (multiplicity 2)  6 O 2.72-2.79
K2 0.0000 0.3383 0.0000 (multiplicity 4)  6 O 2.70-2.82
Er1 0.0000 0.1670 0.5000 (multiplicity 4)  6 O 2.27
Rh1 0.0000 0.5000 0.5000 (multiplicity 2)  6 O 2.19
O1 0.2228 0.3390 0.6858 (multiplicity 8)  1 Rh 2.19, 2 Er 2.27
O2 0.2391 0.0000 0.6848 (multiplicity 4)  1 Rh 2.19, 2 Er 2.27



Record 6
The following is a DFT calculation (PBE-GGA) of a relaxed KErRhO3 crystal.

Magnetic moment, μB per atom: 0.00
Formation energy (no corrections), eV per atom: -1.85

Unit cell a=7.4945 b=3.3526 c=8.5877 alpha=90.00 beta=102.08 gamma=90.00
With the nearest neighbours (Å) after each atom.
Space group P2_1/m (No. 11)
Asymmetric unit:
K1 0.1749 0.2500 0.1967 (multiplicity 2)  4 O 2.77-2.91
Er1 0.3621 0.7500 0.8522 (multiplicity 2)  6 O 2.23-2.33
Rh1 0.1111 0.2500 0.5853 (multiplicity 2)  3 O 2.02-2.07
O1 0.1473 0.2500 0.8313 (multiplicity 2)  1 Rh 2.07, 2 Er 2.30
O2 0.2587 0.7500 0.5765 (multiplicity 2)  2 Rh 2.02
O3 0.4363 0.7500 0.1177 (multiplicity 2)  3 Er 2.23-2.24



Record 7
The following is a DFT calculation (PBE-GGA) of a relaxed K2ErRhO4 crystal.

Magnetic moment, μB per atom: 0.00
Formation energy (no corrections), eV per atom: -1.87

Unit cell a=5.5687 b=3.3600 c=6.4786 alpha=90.00 beta=108.01 gamma=90.00
With the nearest neighbours (Å) after each atom.
Space group P2/m (No. 10)
Asymmetric unit:
K1 0.0000 0.0000 0.0000 (multiplicity 1)  6 O 2.72-2.77
K2 0.5000 0.5000 0.0000 (multiplicity 1)  6 O 2.68
Er1 0.0000 0.5000 0.5000 (multiplicity 1)  6 O 2.26-2.27
Rh1 0.5000 0.0000 0.5000 (multiplicity 1)  6 O 2.16-2.18
O1 0.2377 0.0000 0.6904 (multiplicity 2)  1 Rh 2.18, 2 Er 2.26
O2 0.2919 0.5000 0.3210 (multiplicity 2)  2 Rh 2.16, 1 Er 2.27



Record 8
The following is a DFT calculation (PBE-GGA) of a relaxed K4ErRu3O12 crystal.

Magnetic moment, μB per atom: 0.04
Formation energy (no corrections), eV per atom: -1.42

Unit cell a=8.0660 b=8.0660 c=8.0660 alpha=90.00 beta=90.00 gamma=90.00
With the nearest neighbours (Å) after each atom.
Space group Im-3m (No. 229)
Asymmetric unit:
K1 0.2500 0.2500 0.2500 (multiplicity 8)  12 O 2.85-2.86
Er1 0.0000 0.0000 0.0000 (multiplicity 2)  6 O 2.16
Ru1 0.0000 0.0000 0.5000 (multiplicity 6)  6 O 1.87-2.02
O1 0.0000 0.0000 0.2679 (multiplicity 12)  1 Ru 1.87
O2 0.0000 0.2500 0.5000 (multiplicity 12)  2 Ru 2.02